Compound: Ga13Sn3
Source: Alexandria via LeMat-Bulk
Functional: PBE
Structure: optimized geometry

```
Ga13Sn3
1.0
8.3050 0.0000 0.0000
0.0000 3.9398 5.1027
0.0000 -3.9398 5.1027
Ga Sn
13 3
direct
0.0000 0.0000 0.0000 Ga
0.0000 0.0229 0.5302 Ga
0.0000 0.5302 0.0229 Ga
0.0000 0.5456 0.5456 Ga
0.2344 0.3017 0.8148 Ga
0.2344 0.8148 0.3017 Ga
0.2429 0.7835 0.7835 Ga
0.5000 0.5126 0.9860 Ga
0.5000 0.5400 0.5400 Ga
0.5000 0.9860 0.5126 Ga
0.7571 0.7835 0.7835 Ga
0.7656 0.3017 0.8148 Ga
0.7656 0.8148 0.3017 Ga
0.2587 0.3208 0.3208 Sn
0.5000 0.9964 0.9964 Sn
0.7413 0.3208 0.3208 Sn
```

Results
E, eV per atom: -3.17
Size of the total moment, μB per formula unit: 0.000
ΔH_f (0 K), meV/atom: 35.6
Space group: Amm2, No. 38